1.
# YAl2Cl | Alexandria | GGA-PBE | relaxed
# Energy relative to the lowest polymorph listed for this composition = 72.5 meV per atom
# Formation energy (no corrections) = -44.2 kJ/mol of atoms
data_YAl2Cl
_chemical_formula_sum 'Y1 Al2 Cl1'
_space_group_name_H-M_alt 'P 1'
_space_group_IT_number 1
_space_group_name_Hall 'P 1'
_cell_length_a 4.975
_cell_length_b 4.975
_cell_length_c 6.926
_cell_angle_alpha 61.15
_cell_angle_beta 61.15
_cell_angle_gamma 41.51
loop_
_atom_site_label
_atom_site_type_symbol
_atom_site_fract_x
_atom_site_fract_y
_atom_site_fract_z
Al1 Al 0.040 0.040 0.089
Al2 Al 0.297 0.297 0.174
Y1 Y 0.713 0.713 0.642
Cl1 Cl 0.450 0.450 0.595

2.
# YAl2Cl | Alexandria | GGA-PBE | relaxed
# Energy relative to the lowest polymorph listed for this composition = 156.7 meV per atom
# Formation energy (no corrections) = -36.0 kJ/mol of atoms
data_YAl2Cl
_chemical_formula_sum 'Y1 Al2 Cl1'
_space_group_name_H-M_alt 'P 1'
_space_group_IT_number 1
_space_group_name_Hall 'P 1'
_cell_length_a 6.061
_cell_length_b 6.061
_cell_length_c 6.061
_cell_angle_alpha 148.84
_cell_angle_beta 124.71
_cell_angle_gamma 64.84
loop_
_atom_site_label
_atom_site_type_symbol
_atom_site_fract_x
_atom_site_fract_y
_atom_site_fract_z
Al1 Al 0.763 0.263 0.500
Al2 Al 0.998 0.998 0.000
Y1 Y 0.265 0.765 0.500
Cl1 Cl 0.474 0.474 0.000

3.
# YbAl2Cl8 | Alexandria | GGA-PBE | relaxed
# Formation energy (no corrections) = -169.3 kJ/mol of atoms
data_YbAl2Cl8
_chemical_formula_sum 'Yb4 Al8 Cl32'
_space_group_name_H-M_alt 'P 1'
_space_group_IT_number 1
_space_group_name_Hall 'P 1'
_cell_length_a 12.905
_cell_length_b 12.905
_cell_length_c 12.905
_cell_angle_alpha 125.86
_cell_angle_beta 125.86
_cell_angle_gamma 80.11
loop_
_atom_site_label
_atom_site_type_symbol
_atom_site_fract_x
_atom_site_fract_y
_atom_site_fract_z
Cl1 Cl 0.774 0.749 0.784
Cl2 Cl 0.965 0.990 0.216
Cl3 Cl 0.251 0.035 0.025
Cl4 Cl 0.453 0.756 0.136
Cl5 Cl 0.999 0.524 0.284
Cl6 Cl 0.506 0.870 0.803
Cl7 Cl 0.285 0.001 0.525
Cl8 Cl 0.510 0.535 0.784
Cl9 Cl 0.010 0.226 0.975
Cl10 Cl 0.620 0.317 0.864
Cl11 Cl 0.183 0.880 0.136
Cl12 Cl 0.740 0.024 0.525
Cl13 Cl 0.567 0.370 0.364
Cl14 Cl 0.976 0.501 0.716
Cl15 Cl 0.006 0.203 0.636
Cl16 Cl 0.953 0.817 0.697
Cl17 Cl 0.785 0.260 0.284
Cl18 Cl 0.499 0.215 0.475
Cl19 Cl 0.630 0.994 0.197
Cl20 Cl 0.744 0.047 0.864
Cl21 Cl 0.476 0.760 0.475
Cl22 Cl 0.683 0.547 0.303
Cl23 Cl 0.240 0.715 0.716
Cl24 Cl 0.797 0.433 0.803
Cl25 Cl 0.751 0.726 0.216
Cl26 Cl 0.465 0.249 0.975
Cl27 Cl 0.120 0.256 0.303
Cl28 Cl 0.244 0.380 0.697
Cl29 Cl 0.274 0.490 0.025
Cl30 Cl 0.067 0.703 0.197
Cl31 Cl 0.297 0.494 0.364
Cl32 Cl 0.130 0.933 0.636
Al1 Al 0.103 0.375 0.228
Al2 Al 0.625 0.853 0.728
Al3 Al 0.625 0.353 0.228
Al4 Al 0.125 0.897 0.272
Al5 Al 0.647 0.875 0.272
Al6 Al 0.125 0.397 0.772
Al7 Al 0.603 0.375 0.728
Al8 Al 0.147 0.875 0.772
Yb1 Yb 0.750 0.250 0.500
Yb2 Yb 0.500 0.500 0.000
Yb3 Yb 0.250 0.750 0.500
Yb4 Yb 0.000 0.000 0.000

4.
# Al2ZnCl8 | Alexandria | GGA-PBE | relaxed
# Energy relative to the lowest polymorph listed for this composition = 0.0 meV per atom
# Formation energy (no corrections) = -135.0 kJ/mol of atoms
data_Al2ZnCl8
_chemical_formula_sum 'Al4 Zn2 Cl16'
_space_group_name_H-M_alt 'P 1'
_space_group_IT_number 1
_space_group_name_Hall 'P 1'
_cell_length_a 8.599
_cell_length_b 9.871
_cell_length_c 10.278
_cell_angle_alpha 70.54
_cell_angle_beta 65.27
_cell_angle_gamma 64.18
loop_
_atom_site_label
_atom_site_type_symbol
_atom_site_fract_x
_atom_site_fract_y
_atom_site_fract_z
Cl1 Cl 0.295 0.244 0.058
Cl2 Cl 0.124 0.945 0.219
Cl3 Cl 0.177 0.217 0.494
Cl4 Cl 0.403 0.744 0.558
Cl5 Cl 0.719 0.953 0.174
Cl6 Cl 0.112 0.717 0.994
Cl7 Cl 0.823 0.783 0.506
Cl8 Cl 0.712 0.445 0.719
Cl9 Cl 0.281 0.047 0.826
Cl10 Cl 0.288 0.555 0.281
Cl11 Cl 0.888 0.283 0.006
Cl12 Cl 0.876 0.055 0.781
Cl13 Cl 0.597 0.256 0.442
Cl14 Cl 0.846 0.547 0.326
Cl15 Cl 0.705 0.756 0.942
Cl16 Cl 0.154 0.453 0.674
Al1 Al 0.682 0.631 0.531
Al2 Al 0.844 0.869 0.969
Al3 Al 0.156 0.131 0.031
Al4 Al 0.318 0.369 0.469
Zn1 Zn 0.012 0.250 0.750
Zn2 Zn 0.988 0.750 0.250

5.
# Al2ZnCl | Alexandria | GGA-PBE | relaxed
# Energy relative to the lowest polymorph listed for this composition = 224.9 meV per atom
# Formation energy (no corrections) = 9.3 kJ/mol of atoms
data_Al2ZnCl
_chemical_formula_sum 'Al2 Zn1 Cl1'
_space_group_name_H-M_alt 'P 1'
_space_group_IT_number 1
_space_group_name_Hall 'P 1'
_cell_length_a 3.025
_cell_length_b 4.663
_cell_length_c 5.427
_cell_angle_alpha 90.00
_cell_angle_beta 90.00
_cell_angle_gamma 90.00
loop_
_atom_site_label
_atom_site_type_symbol
_atom_site_fract_x
_atom_site_fract_y
_atom_site_fract_z
Al1 Al 0.000 0.000 0.502
Al2 Al 0.000 0.000 0.998
Zn1 Zn 0.500 0.500 0.750
Cl1 Cl 0.500 0.500 0.250

6.
# Al2ZnCl | Alexandria | GGA-PBE | relaxed
# Energy relative to the lowest polymorph listed for this composition = 120.9 meV per atom
# Formation energy (no corrections) = -0.7 kJ/mol of atoms
data_Al2ZnCl
_chemical_formula_sum 'Al2 Zn1 Cl1'
_space_group_name_H-M_alt 'P 1'
_space_group_IT_number 1
_space_group_name_Hall 'P 1'
_cell_length_a 3.004
_cell_length_b 5.151
_cell_length_c 4.827
_cell_angle_alpha 90.00
_cell_angle_beta 90.00
_cell_angle_gamma 90.00
loop_
_atom_site_label
_atom_site_type_symbol
_atom_site_fract_x
_atom_site_fract_y
_atom_site_fract_z
Zn1 Zn 0.000 0.500 0.500
Cl1 Cl 0.500 0.000 0.500
Al1 Al 0.500 0.500 0.000
Al2 Al 0.000 0.000 0.000

no.,magnetic moment (μB per cell),volume (Å³/atom)
1,0.3,24.33
2,0.0,23.42
3,1.0,30.97
4,0.0,31.86
5,0.0,19.14
6,0.0,18.68